Record 1
A plane-wave DFT calculation with GGA-PBE was carried out for a relaxed structure of Ca8PPb2.

Values from the calculation:
E_form: -0.454 eV per atom
total magnetic moment: 0.00 μB/cell
symmetry: C2/m, No. 12

abc: 5.2234 7.0813 10.2808
angles: 105.09 104.72 90.00
Element x y z (fractional)
Ca (0.4090, 0.5822, 0.8179)
Ca (0.6444, 0.9623, 0.2887)
Ca (0.7821, 0.7005, 0.5643)
Ca (0.9761, 0.2097, 0.9522)
Ca (0.2179, 0.2995, 0.4357)
Ca (0.3556, 0.0377, 0.7113)
Ca (0.5910, 0.4178, 0.1821)
Ca (0.0239, 0.7903, 0.0478)
P (0.5000, 0.0000, 0.0000)
Pb (0.8169, 0.2734, 0.6338)
Pb (0.1831, 0.7266, 0.3662)


Record 2
A plane-wave DFT calculation with GGA-PBE was carried out for a relaxed structure of SrLaTe2.

Values from the calculation:
total magnetic moment: 0.00 μB/cell
formation energy without anion corrections: -6.521 eV per formula unit
energy above the most stable polymorph in this dataset: 28 meV/atom
symmetry: C2/m, No. 12

abc: 4.6161 4.6161 8.1597
angles: 73.66 73.66 59.90
Element x y z (fractional)
Sr (0.7500, 0.7500, 0.7500)
Te (0.9984, 0.9984, 0.0048)
Te (0.5016, 0.5016, 0.4952)
La (0.2500, 0.2500, 0.2500)


Record 3
A plane-wave DFT calculation with GGA-PBE was carried out for a relaxed structure of CuPbCl.

Values from the calculation:
total magnetic moment: 0.00 μB/cell
formation energy without anion corrections: 0.288 eV per formula unit
energy above the most stable polymorph in this dataset: 315 meV/atom
symmetry: F-43m, No. 216

abc: 4.7480 4.7480 4.7480
angles: 60.00 60.00 60.00
Element x y z (fractional)
Pb (0.0000, 0.0000, 0.0000)
Cu (0.7500, 0.7500, 0.7500)
Cl (0.5000, 0.5000, 0.5000)


Record 4
A plane-wave DFT calculation with GGA-PBE was carried out for a relaxed structure of CsCaTe2.

Values from the calculation:
total magnetic moment: 0.00 μB/cell
formation energy without anion corrections: -3.875 eV per formula unit
symmetry: I4_1/amd, No. 141

abc: 10.7560 10.7560 10.7560
angles: 142.42 142.42 54.19
Element x y z (fractional)
Cs (0.0000, 0.0000, 0.0000)
Cs (0.7500, 0.2500, 0.5000)
Ca (0.5000, 0.5000, 0.0000)
Ca (0.2500, 0.7500, 0.5000)
Te (0.3750, 0.6250, 0.7500)
Te (0.8750, 0.6250, 0.2500)
Te (0.3750, 0.1250, 0.7500)
Te (0.3750, 0.6250, 0.2500)


Record 5
A plane-wave DFT calculation with GGA-PBE was carried out for a relaxed structure of Ti3H2N.

Values from the calculation:
total magnetic moment: 0.00 μB/cell
energy above the most stable polymorph in this dataset: 0 meV/atom
symmetry: Fmmm, No. 69

abc: 2.9985 2.9985 6.6013
angles: 103.11 103.11 90.10
Element x y z (fractional)
Ti (0.9342, 0.9357, 0.8740)
Ti (0.2688, 0.2703, 0.5431)
Ti (0.5996, 0.6011, 0.2048)
H (0.0978, 0.0993, 0.2012)
H (0.7706, 0.7721, 0.5468)
N (0.4342, 0.4357, 0.8740)


Record 6
A plane-wave DFT calculation with GGA-PBE was carried out for a relaxed structure of ScTa2Sb.

Values from the calculation:
total magnetic moment: 0.00 μB/cell
formation energy without anion corrections: 0.372 eV per formula unit
symmetry: R3m, No. 160

abc: 9.1939 9.1939 9.1939
angles: 20.71 20.71 20.71
Element x y z (fractional)
Sb (0.5057, 0.5057, 0.5057)
Sc (0.7479, 0.7479, 0.7479)
Ta (0.9939, 0.9939, 0.9939)
Ta (0.2524, 0.2524, 0.2524)


Record 7
A plane-wave DFT calculation with GGA-PBE was carried out for a relaxed structure of CdSiH2.

Values from the calculation:
total magnetic moment: 0.00 μB/cell
energy above the most stable polymorph in this dataset: 0 meV/atom
symmetry: I-42d, No. 122

abc: 5.2764 5.2764 5.4980
angles: 61.32 61.32 90.00
Element x y z (fractional)
H (0.3174, 0.1250, 0.2500)
H (0.4326, 0.6250, 0.2500)
H (0.3750, 0.6826, 0.7500)
H (0.8750, 0.5674, 0.7500)
Si (0.5000, 0.5000, 0.0000)
Si (0.2500, 0.7500, 0.5000)
Cd (0.0000, 0.0000, 0.0000)
Cd (0.7500, 0.2500, 0.5000)


Record 8
A plane-wave DFT calculation with GGA-PBE was carried out for a relaxed structure of CdIn2RuO8.

Values from the calculation:
total magnetic moment: 0.00 μB/cell
formation energy without anion corrections: -11.263 eV per formula unit
symmetry: P2/m, No. 10

abc: 4.8827 4.8589 6.7218
angles: 90.00 90.00 92.49
Element x y z (fractional)
Cd (0.0000, 0.0000, 0.5000)
In (0.5000, 0.5000, 0.7507)
In (0.5000, 0.5000, 0.2493)
Ru (0.0000, 0.0000, 0.0000)
O (0.1810, 0.8129, 0.2009)
O (0.7072, 0.7132, 0.0000)
O (0.8190, 0.1871, 0.2009)
O (0.8190, 0.1871, 0.7991)
O (0.2928, 0.2868, 0.0000)
O (0.1810, 0.8129, 0.7991)
O (0.6890, 0.6948, 0.5000)
O (0.3110, 0.3052, 0.5000)


Question: total magnetic moment of number 1 (Ca8PPb2)?
Answer: 0.00 μB/cell


Question: Which value of total magnetic moment does entry 6 give?
Answer: 0.00 μB/cell


Question: What is the total magnetic moment in the first record?
Answer: 0.00 μB/cell